Entry 1:
A plane-wave DFT calculation with PBE was carried out for crystalline K5ErSi2 at its relaxed geometry.

```
data_K5ErSi2
_symmetry_space_group_name_H-M 'P 1'
_symmetry_Int_Tables_number 1
_cell_length_a 6.1728
_cell_length_b 6.1728
_cell_length_c 10.6197
_cell_angle_alpha 90.00
_cell_angle_beta 90.00
_cell_angle_gamma 90.00
loop_
_symmetry_equiv_pos_as_xyz
'x,y,z'
loop_
_atom_site_label
_atom_site_fract_x
_atom_site_fract_y
_atom_site_fract_z
_atom_site_occupancy
K1 0.0000 0.0000 0.0000 1
K2 0.0000 0.5000 0.2817 1
K3 0.0000 0.5000 0.7183 1
K4 0.5000 0.0000 0.2817 1
K5 0.5000 0.0000 0.7183 1
Er1 0.5000 0.5000 0.0000 1
Si1 0.0000 0.0000 0.3994 1
Si2 0.0000 0.0000 0.6006 1
```

Computed properties:
Volume: 50.6 Å³/atom
Final energy: -17.3 eV per cell


Entry 2:
A plane-wave DFT calculation with PBE was carried out for crystalline KSmEr at its relaxed geometry.

```
data_KSmEr
_symmetry_space_group_name_H-M 'P 1'
_symmetry_Int_Tables_number 1
_cell_length_a 5.8757
_cell_length_b 5.8757
_cell_length_c 5.8757
_cell_angle_alpha 60.00
_cell_angle_beta 60.00
_cell_angle_gamma 60.00
loop_
_symmetry_equiv_pos_as_xyz
'x,y,z'
loop_
_atom_site_label
_atom_site_fract_x
_atom_site_fract_y
_atom_site_fract_z
_atom_site_occupancy
K1 0.0000 0.0000 0.0000 1
Sm1 0.5000 0.5000 0.5000 1
Er1 0.2500 0.2500 0.2500 1
```

Computed properties:
Volume: 47.8 Å³/atom
Energy above the most stable polymorph in this dataset: 0 meV/atom


Entry 3:
A plane-wave DFT calculation with PBE was carried out for crystalline KErSn at its relaxed geometry.

```
data_KErSn
_symmetry_space_group_name_H-M 'P 1'
_symmetry_Int_Tables_number 1
_cell_length_a 5.2897
_cell_length_b 5.2897
_cell_length_c 5.2897
_cell_angle_alpha 60.00
_cell_angle_beta 60.00
_cell_angle_gamma 60.00
loop_
_symmetry_equiv_pos_as_xyz
'x,y,z'
loop_
_atom_site_label
_atom_site_fract_x
_atom_site_fract_y
_atom_site_fract_z
_atom_site_occupancy
K1 0.0000 0.0000 0.0000 1
Er1 0.2500 0.2500 0.2500 1
Sn1 0.5000 0.5000 0.5000 1
```

Computed properties:
Volume: 34.9 Å³/atom
Energy above the most stable polymorph in this dataset: 0 meV/atom


Entry 4:
A plane-wave DFT calculation with PBE was carried out for crystalline KErTa at its relaxed geometry.

```
data_KErTa
_symmetry_space_group_name_H-M 'P 1'
_symmetry_Int_Tables_number 1
_cell_length_a 5.4215
_cell_length_b 5.4215
_cell_length_c 5.4215
_cell_angle_alpha 60.00
_cell_angle_beta 60.00
_cell_angle_gamma 60.00
loop_
_symmetry_equiv_pos_as_xyz
'x,y,z'
loop_
_atom_site_label
_atom_site_fract_x
_atom_site_fract_y
_atom_site_fract_z
_atom_site_occupancy
K1 0.0000 0.0000 0.0000 1
Er1 0.2500 0.2500 0.2500 1
Ta1 0.5000 0.5000 0.5000 1
```

Computed properties:
Volume: 37.6 Å³/atom
Energy above the most stable polymorph in this dataset: 0 meV/atom


Entry 5:
A plane-wave DFT calculation with PBE was carried out for crystalline K4TbEr at its relaxed geometry.

```
data_K4TbEr
_symmetry_space_group_name_H-M 'P 1'
_symmetry_Int_Tables_number 1
_cell_length_a 7.3886
_cell_length_b 10.6981
_cell_length_c 10.6981
_cell_angle_alpha 21.18
_cell_angle_beta 90.00
_cell_angle_gamma 90.00
loop_
_symmetry_equiv_pos_as_xyz
'x,y,z'
loop_
_atom_site_label
_atom_site_fract_x
_atom_site_fract_y
_atom_site_fract_z
_atom_site_occupancy
K1 0.0000 0.0000 0.0000 1
K2 0.0000 0.3284 0.3284 1
K3 0.0000 0.6576 0.6576 1
K4 0.5000 0.8290 0.8290 1
Tb1 0.5000 0.1436 0.1436 1
Er1 0.5000 0.5112 0.5112 1
```

Computed properties:
Volume: 50.9 Å³/atom
Final energy: -10.8 eV per cell


Entry 6:
A plane-wave DFT calculation with PBE was carried out for crystalline KTbEr at its relaxed geometry.

```
data_KTbEr
_symmetry_space_group_name_H-M 'P 1'
_symmetry_Int_Tables_number 1
_cell_length_a 5.8729
_cell_length_b 5.8729
_cell_length_c 5.8729
_cell_angle_alpha 60.00
_cell_angle_beta 60.00
_cell_angle_gamma 60.00
loop_
_symmetry_equiv_pos_as_xyz
'x,y,z'
loop_
_atom_site_label
_atom_site_fract_x
_atom_site_fract_y
_atom_site_fract_z
_atom_site_occupancy
K1 0.0000 0.0000 0.0000 1
Tb1 0.5000 0.5000 0.5000 1
Er1 0.2500 0.2500 0.2500 1
```

Computed properties:
Volume: 47.7 Å³/atom
Energy above the most stable polymorph in this dataset: 0 meV/atom


Entry 7:
A plane-wave DFT calculation with PBE was carried out for crystalline KErTc at its relaxed geometry.

```
data_KErTc
_symmetry_space_group_name_H-M 'P 1'
_symmetry_Int_Tables_number 1
_cell_length_a 5.0085
_cell_length_b 5.0085
_cell_length_c 5.0085
_cell_angle_alpha 60.00
_cell_angle_beta 60.00
_cell_angle_gamma 60.00
loop_
_symmetry_equiv_pos_as_xyz
'x,y,z'
loop_
_atom_site_label
_atom_site_fract_x
_atom_site_fract_y
_atom_site_fract_z
_atom_site_occupancy
K1 0.0000 0.0000 0.0000 1
Er1 0.2500 0.2500 0.2500 1
Tc1 0.5000 0.5000 0.5000 1
```

Computed properties:
Volume: 29.6 Å³/atom
Energy above the most stable polymorph in this dataset: 0 meV/atom


Entry 8:
A plane-wave DFT calculation with PBE was carried out for crystalline KErTe2 at its relaxed geometry.

```
data_KErTe2
_symmetry_space_group_name_H-M 'P 1'
_symmetry_Int_Tables_number 1
_cell_length_a 7.3591
_cell_length_b 7.3591
_cell_length_c 7.3591
_cell_angle_alpha 106.54
_cell_angle_beta 106.54
_cell_angle_gamma 115.51
loop_
_symmetry_equiv_pos_as_xyz
'x,y,z'
loop_
_atom_site_label
_atom_site_fract_x
_atom_site_fract_y
_atom_site_fract_z
_atom_site_occupancy
K1 0.2500 0.2500 0.0000 1
K2 0.7500 0.7500 0.0000 1
Er1 0.2500 0.7500 0.5000 1
Er2 0.7500 0.2500 0.5000 1
Te1 0.1782 0.6782 0.8564 1
Te2 0.3218 0.1782 0.5000 1
Te3 0.6782 0.8218 0.5000 1
Te4 0.8218 0.3218 0.1436 1
```

Computed properties:
Volume: 38.0 Å³/atom
Final energy: -33.3 eV per cell


Entry 9:
A plane-wave DFT calculation with PBE was carried out for crystalline KErZnTe3 at its relaxed geometry.

```
data_KErZnTe3
_symmetry_space_group_name_H-M 'P 1'
_symmetry_Int_Tables_number 1
_cell_length_a 10.2821
_cell_length_b 10.2821
_cell_length_c 9.2249
_cell_angle_alpha 101.17
_cell_angle_beta 101.17
_cell_angle_gamma 24.92
loop_
_symmetry_equiv_pos_as_xyz
'x,y,z'
loop_
_atom_site_label
_atom_site_fract_x
_atom_site_fract_y
_atom_site_fract_z
_atom_site_occupancy
K1 0.1360 0.1360 0.0624 1
K2 0.8640 0.8640 0.9376 1
Er1 0.1707 0.1707 0.5661 1
Er2 0.8293 0.8293 0.4339 1
Zn1 0.4663 0.4663 0.2728 1
Zn2 0.5337 0.5337 0.7272 1
Te1 0.0000 0.0000 0.5000 1
Te2 0.3241 0.3241 0.6522 1
Te3 0.3326 0.3326 0.2084 1
Te4 0.5000 0.5000 0.0000 1
Te5 0.6674 0.6674 0.7916 1
Te6 0.6759 0.6759 0.3478 1
```

Computed properties:
Volume: 33.6 Å³/atom
Final energy: -43.6 eV per cell


Entry 10:
A plane-wave DFT calculation with PBE was carried out for crystalline KErZnTe3 at its relaxed geometry.

```
data_KErZnTe3
_symmetry_space_group_name_H-M 'P 1'
_symmetry_Int_Tables_number 1
_cell_length_a 9.3558
_cell_length_b 4.3725
_cell_length_c 10.7794
_cell_angle_alpha 90.00
_cell_angle_beta 108.97
_cell_angle_gamma 90.00
loop_
_symmetry_equiv_pos_as_xyz
'x,y,z'
loop_
_atom_site_label
_atom_site_fract_x
_atom_site_fract_y
_atom_site_fract_z
_atom_site_occupancy
K1 0.2307 0.2500 0.2661 1
K2 0.7693 0.7500 0.7339 1
Er1 0.3221 0.7500 0.8613 1
Er2 0.6779 0.2500 0.1387 1
Zn1 0.0811 0.2500 0.6084 1
Zn2 0.9189 0.7500 0.3916 1
Te1 0.0887 0.2500 0.8553 1
Te2 0.2210 0.7500 0.5469 1
Te3 0.4572 0.7500 0.1570 1
Te4 0.5428 0.2500 0.8430 1
Te5 0.7790 0.2500 0.4531 1
Te6 0.9113 0.7500 0.1447 1
```

Computed properties:
Volume: 34.8 Å³/atom
Final energy: -45.3 eV per cell


Entry 11:
A plane-wave DFT calculation with PBE was carried out for crystalline KErTl at its relaxed geometry.

```
data_KErTl
_symmetry_space_group_name_H-M 'P 1'
_symmetry_Int_Tables_number 1
_cell_length_a 5.4722
_cell_length_b 5.4722
_cell_length_c 5.4722
_cell_angle_alpha 60.00
_cell_angle_beta 60.00
_cell_angle_gamma 60.00
loop_
_symmetry_equiv_pos_as_xyz
'x,y,z'
loop_
_atom_site_label
_atom_site_fract_x
_atom_site_fract_y
_atom_site_fract_z
_atom_site_occupancy
K1 0.0000 0.0000 0.0000 1
Er1 0.5000 0.5000 0.5000 1
Tl1 0.7500 0.7500 0.7500 1
```

Computed properties:
Volume: 38.6 Å³/atom
Energy above the most stable polymorph in this dataset: 0 meV/atom


Entry 12:
A plane-wave DFT calculation with PBE was carried out for crystalline KErTm at its relaxed geometry.

```
data_KErTm
_symmetry_space_group_name_H-M 'P 1'
_symmetry_Int_Tables_number 1
_cell_length_a 5.8129
_cell_length_b 5.8129
_cell_length_c 5.8129
_cell_angle_alpha 60.00
_cell_angle_beta 60.00
_cell_angle_gamma 60.00
loop_
_symmetry_equiv_pos_as_xyz
'x,y,z'
loop_
_atom_site_label
_atom_site_fract_x
_atom_site_fract_y
_atom_site_fract_z
_atom_site_occupancy
K1 0.0000 0.0000 0.0000 1
Er1 0.5000 0.5000 0.5000 1
Tm1 0.7500 0.7500 0.7500 1
```

Computed properties:
Volume: 46.3 Å³/atom
Energy above the most stable polymorph in this dataset: 0 meV/atom


Entry 13:
A plane-wave DFT calculation with PBE was carried out for crystalline KErU at its relaxed geometry.

```
data_KErU
_symmetry_space_group_name_H-M 'P 1'
_symmetry_Int_Tables_number 1
_cell_length_a 5.6442
_cell_length_b 5.6442
_cell_length_c 5.6442
_cell_angle_alpha 60.00
_cell_angle_beta 60.00
_cell_angle_gamma 60.00
loop_
_symmetry_equiv_pos_as_xyz
'x,y,z'
loop_
_atom_site_label
_atom_site_fract_x
_atom_site_fract_y
_atom_site_fract_z
_atom_site_occupancy
K1 0.0000 0.0000 0.0000 1
Er1 0.2500 0.2500 0.2500 1
U1 0.5000 0.5000 0.5000 1
```

Computed properties:
Volume: 42.4 Å³/atom
Energy above the most stable polymorph in this dataset: 0 meV/atom